(1)
A geometry-optimized Mg6Ag8Sn structure, computed with PBE.

Results
energy = -2.49 eV/atom

Unit cell a=7.8588 b=7.8588 c=17.0215 alpha=90.00 beta=90.00 gamma=120.00
Space group R-3 (No. 148, hexagonal axes)
One atom of each set of equivalent atoms:
Mg 0.0094 0.7502 0.3879 [18 per cell]
Ag 0.0000 0.0000 0.2549 [6 per cell]
Ag 0.0079 0.7204 0.8811 [18 per cell]
Sn 0.0000 0.0000 0.0000 [3 per cell]

***

(2)
A geometry-optimized SmY2Sc3 structure, computed with PBE.

Results
offset from the most stable computed form = 0.1697 eV per atom

Unit cell a=6.3411 b=6.3411 c=10.4803 alpha=90.00 beta=90.00 gamma=120.00
Space group P-3m1 (No. 164)
One atom of each set of equivalent atoms:
Sm 0.3333 0.6667 0.4386 [2 per cell]
Y 0.0000 0.0000 0.0000 [1 per cell]
Y 0.0000 0.0000 0.5000 [1 per cell]
Y 0.3333 0.6667 0.0582 [2 per cell]
Sc 0.1709 0.3418 0.7526 [6 per cell]

***

(3)
A geometry-optimized BeSiSe2I structure, computed with PBE.

Results
formation energy (no corrections) = 122.0 kJ per mole of atoms

Unit cell a=5.529 b=5.529 c=4.620 alpha=90.00 beta=90.00 gamma=90.00
Space group P4/mmm (No. 123)
One atom of each set of equivalent atoms:
Be 0.000 0.000 0.000 [1 per cell]
Si 0.500 0.500 0.000 [1 per cell]
Se 0.000 0.500 0.500 [2 per cell]
I 0.000 0.000 0.500 [1 per cell]